# 1
Tm5Pu3O12 (PBE-GGA, optimized geometry); raw formation energy = -3.20 eV/atom; Fermi-level density of states = 115.13 states/eV/cell; space-group type = Ia-3d; crystal system = cubic; V = 15.226 A^3/atom
1.0
-6.570 5.809 7.674
0.044 -11.332 2.717
10.898 4.113 0.318
Tm O Pu
20 48 12
direct
0.125 0.375 0.250
0.000 0.500 0.000
0.000 0.000 0.000
0.375 0.250 0.125
0.500 0.000 0.500
0.500 0.500 0.000
0.125 0.750 0.375
0.750 0.125 0.875
0.750 0.625 0.375
0.375 0.125 0.750
0.625 0.875 0.250
0.500 0.500 0.500
0.500 0.000 0.000
0.000 0.000 0.500
0.250 0.375 0.625
0.250 0.875 0.125
0.000 0.500 0.500
0.875 0.250 0.625
0.625 0.750 0.875
0.875 0.625 0.750
0.716 0.129 0.041
0.325 0.541 0.412
0.959 0.371 0.284
0.541 0.216 0.129
0.588 0.716 0.675
0.959 0.588 0.175
0.325 0.784 0.412
0.088 0.912 0.129
0.588 0.959 0.675
0.716 0.588 0.175
0.784 0.459 0.371
0.825 0.912 0.041
0.129 0.716 0.541
0.371 0.412 0.088
0.088 0.912 0.371
0.412 0.129 0.588
0.088 0.175 0.216
0.459 0.675 0.088
0.825 0.912 0.284
0.129 0.412 0.088
0.371 0.959 0.784
0.588 0.629 0.412
0.912 0.825 0.541
0.784 0.325 0.912
0.412 0.371 0.588
0.088 0.175 0.459
0.216 0.675 0.088
0.175 0.088 0.716
0.629 0.041 0.216
0.871 0.588 0.912
0.541 0.325 0.912
0.588 0.871 0.412
0.912 0.825 0.784
0.912 0.088 0.629
0.871 0.284 0.459
0.175 0.088 0.959
0.629 0.588 0.912
0.412 0.041 0.325
0.284 0.412 0.825
0.216 0.541 0.629
0.912 0.088 0.871
0.675 0.216 0.588
0.459 0.784 0.871
0.041 0.412 0.825
0.412 0.284 0.325
0.041 0.629 0.716
0.675 0.459 0.588
0.284 0.871 0.959
0.750 0.375 0.125
0.875 0.750 0.125
0.375 0.750 0.625
0.250 0.125 0.375
0.875 0.125 0.250
0.375 0.625 0.250
0.625 0.375 0.750
0.125 0.875 0.750
0.750 0.875 0.625
0.625 0.250 0.375
0.125 0.250 0.875
0.250 0.625 0.875



# 2
TlAg3Mo (PBE-GGA, optimized geometry); Fermi-level density of states = 2.10 states/eV/cell; space-group type = Pm-3m; crystal system = cubic; formation energy from the elements = 1.4144 eV/atom; V = 28.269 A^3/atom
1.0
5.209 0.000 0.000
0.000 5.209 0.000
0.000 0.000 5.209
Tl Mo Ag
1 1 3
direct
0.000 0.000 0.000
0.500 0.500 0.500
0.000 0.500 0.000
0.000 0.000 0.500
0.500 0.000 0.000



# 3
Pm3TmAl8 (PBE-GGA, optimized geometry); Fermi-level density of states = 10.22 states/eV/cell; space-group type = R3m; crystal system = trigonal; formation energy from the elements = -0.5025 eV/atom; V = 20.980 A^3/atom
1.0
5.617 0.000 0.000
2.808 4.864 0.000
2.808 1.621 9.215
Pm Tm Al
3 1 8
direct
0.375 0.375 0.875
0.000 0.000 0.001
0.500 0.500 0.500
0.875 0.875 0.374
0.936 0.437 0.190
0.439 0.938 0.685
0.437 0.437 0.190
0.938 0.938 0.685
0.188 0.188 0.437
0.687 0.687 0.938
0.437 0.936 0.190
0.938 0.439 0.685